Below is a geometry-optimized Fe2MoSe structure, with properties calculated at the PBE-GGA level.

Values from the calculation:
- Space-group type: Pmmm, No. 47
- DOS at the Fermi energy: 4.18 states/eV/f.u.
- Uncorrected formation energy: 28 kJ per mole of atoms
- Crystal system: orthorhombic

a b c (Å): 3.044 4.198 4.269
angles (deg): 90.00 90.00 90.00
Positions (direct):
Fe  0.000  0.000  0.000
Fe  0.500  0.500  0.000
Mo  0.000  0.500  0.500
Se  0.500  0.000  0.500